No. 1
# ZnMoAs2

A relaxed ZnMoAs2 crystal (GGA-PBE, OQMD).

total moment: 0.04 μB/atom
E_tot: -4.7877 eV/atom
calculated volume: 66.5 Å³/cell

Unit cell a=4.548 b=4.548 c=4.548 alpha=60.00 beta=60.00 gamma=60.00
Fractional positions:
Zn 0.000 0.000 0.000
Mo 0.250 0.250 0.250
As 0.500 0.500 0.500
As 0.750 0.750 0.750

No. 2
# ZnMoAs2

A relaxed ZnMoAs2 crystal (GGA-PBE, OQMD).

total moment: 0.01 μB/atom
E_tot: -4.7877 eV/atom
calculated volume: 66.5 Å³/cell

Unit cell a=4.548 b=4.548 c=4.548 alpha=60.00 beta=60.00 gamma=60.00
Fractional positions:
Zn 0.000 0.000 0.000
Mo 0.750 0.750 0.750
As 0.250 0.250 0.250
As 0.500 0.500 0.500

No. 3
# ZnMoAs2

A relaxed ZnMoAs2 crystal (GGA-PBE, OQMD).

total moment: 0.43 μB/atom
E_tot: -5.1003 eV/atom
calculated volume: 189.1 Å³/cell

Unit cell a=7.039 b=7.039 c=7.039 alpha=131.95 beta=131.95 gamma=70.31
Fractional positions:
Zn 0.000 0.000 0.000
Zn 0.750 0.250 0.500
Mo 0.250 0.750 0.500
Mo 0.500 0.500 0.000
As 0.132 0.125 0.507
As 0.375 0.868 0.993
As 0.618 0.625 0.493
As 0.875 0.382 0.007

No. 4
# ZrMo2As2

A relaxed ZrMo2As2 crystal (GGA-PBE, OQMD).

total moment: 0.00 μB/atom
E_tot: -8.0422 eV/atom
calculated volume: 91.0 Å³/cell

Unit cell a=5.805 b=5.805 c=5.805 alpha=136.65 beta=136.65 gamma=62.98
Fractional positions:
Zr 0.000 0.000 0.000
Mo 0.250 0.750 0.500
Mo 0.750 0.250 0.500
As 0.376 0.376 0.000
As 0.624 0.624 0.000

No. 5
# NbAs2N

A relaxed NbAs2N crystal (GGA-PBE, OQMD).

total moment: 0.00 μB/atom
E_tot: -6.3313 eV/atom
calculated volume: 114.8 Å³/cell

Unit cell a=3.075 b=3.075 c=14.019 alpha=90.00 beta=90.00 gamma=120.00
Fractional positions:
Nb 0.333 0.667 0.250
Nb 0.667 0.333 0.750
As 0.333 0.667 0.603
As 0.333 0.667 0.897
As 0.667 0.333 0.103
As 0.667 0.333 0.397
N 0.000 0.000 0.000
N 0.000 0.000 0.500

No. 6
# Nb2AsN

A relaxed Nb2AsN crystal (GGA-PBE, OQMD).

total moment: 0.00 μB/atom
E_tot: -8.9999 eV/atom
calculated volume: 344.0 Å³/cell

Unit cell a=5.724 b=5.724 c=12.572 alpha=103.21 beta=103.21 gamma=59.98
Fractional positions:
Nb 0.030 0.863 0.592
Nb 0.137 0.970 0.908
Nb 0.196 0.366 0.092
Nb 0.303 0.468 0.408
Nb 0.366 0.196 0.592
Nb 0.468 0.303 0.908
Nb 0.532 0.697 0.092
Nb 0.634 0.804 0.408
Nb 0.697 0.532 0.592
Nb 0.804 0.634 0.908
Nb 0.863 0.030 0.092
Nb 0.970 0.137 0.408
As 0.084 0.250 0.750
As 0.250 0.084 0.250
As 0.418 0.582 0.750
As 0.582 0.418 0.250
As 0.750 0.916 0.750
As 0.916 0.750 0.250
N 0.000 0.500 0.500
N 0.167 0.668 0.000
N 0.332 0.833 0.500
N 0.500 0.000 0.000
N 0.668 0.167 0.500
N 0.833 0.332 0.000